Entry 1:
Entry from Alexandria: a relaxed structure of CuMoF6 (PBE with a Hubbard U).

The value obtained for the total energy is -4.888 eV per atom.

The space group is P-31c (No. 163) and the conventional cell measures 5.1354, 5.1354 and 9.4852 Å, with angles of 90.00, 90.00 and 120.00 degrees. The distinct sites, in fractional coordinates, are Cu at (0.3333, 0.6667, 0.2500), Mo at (0.0000, 0.0000, 0.0000) and F at (0.0226, 0.3265, 0.1190).

---

Entry 2:
Entry from Alexandria: a relaxed structure of CuMoF6 (PBE with a Hubbard U).

The value obtained for the total energy is -4.888 eV per atom.

The space group is P-1 (No. 2) and the conventional cell measures 5.007, 5.104 and 5.199 Å, with angles of 79.84, 77.95 and 62.68 degrees. The distinct sites, in fractional coordinates, are Cu at (0.000, 0.000, 0.000), Mo at (0.000, 0.500, 0.500), F at (0.020, 0.235, 0.249), F at (0.254, 0.128, 0.737) and F at (0.329, 0.563, 0.268).

---

Entry 3:
Entry from Alexandria: a relaxed structure of Na2CuMoF6 (PBE with a Hubbard U).

The value obtained for the total energy is -4.699 eV per atom.

The space group is Fm-3m (No. 225) and the conventional cell measures 8.489, 8.489 and 8.489 Å, with angles of 90.00, 90.00 and 90.00 degrees. The distinct sites, in fractional coordinates, are Na at (0.250, 0.250, 0.250), Cu at (0.000, 0.000, 0.000), Mo at (0.000, 0.000, 0.500) and F at (0.000, 0.000, 0.254).

---

Entry 4:
Entry from Alexandria: a relaxed structure of NaCu2MoF8 (PBE with a Hubbard U).

The value obtained for the total energy is -4.667 eV per atom.

The space group is I-4 (No. 82) and the conventional cell measures 5.227, 5.227 and 10.635 Å, with angles of 90.00, 90.00 and 90.00 degrees. The distinct sites, in fractional coordinates, are Na at (0.000, 0.000, 0.000), Cu at (0.000, 0.000, 0.500), Cu at (0.000, 0.500, 0.250), Mo at (0.000, 0.500, 0.750), F at (0.182, 0.273, 0.609) and F at (0.221, 0.769, 0.162).

---

Entry 5:
Entry from Alexandria: a relaxed structure of SrCuMoF2 (PBE with a Hubbard U).

The value obtained for the total energy is -4.245 eV per atom.

The space group is P4/mmm (No. 123) and the conventional cell measures 4.267, 4.267 and 7.377 Å, with angles of 90.00, 90.00 and 90.00 degrees. The distinct sites, in fractional coordinates, are Sr at (0.000, 0.000, 0.000), Cu at (0.500, 0.500, 0.000), Mo at (0.000, 0.000, 0.500) and F at (0.000, 0.500, 0.500).

---

Entry 6:
Entry from Alexandria: a relaxed structure of TlCuMoF (PBE with a Hubbard U).

The value obtained for the total energy is -3.893 eV per atom.

The space group is P1 (No. 1) and the conventional cell measures 2.955, 2.957 and 9.593 Å, with angles of 81.69, 82.83 and 62.53 degrees. The distinct sites, in fractional coordinates, are Tl at (0.000, 0.000, 0.000), Cu at (0.405, 0.437, 0.729), Mo at (0.118, 0.175, 0.514) and F at (0.494, 0.570, 0.364).

---

Entry 7:
Entry from Alexandria: a relaxed structure of TlCuMoF (PBE with a Hubbard U).

The value obtained for the total energy is -4.085 eV per atom.

The space group is Imm2 (No. 44) and the conventional cell measures 3.314, 4.218 and 11.561 Å, with angles of 90.00, 90.00 and 90.00 degrees. The distinct sites, in fractional coordinates, are Tl at (0.000, 0.000, 0.000), Cu at (0.000, 0.000, 0.571), Mo at (0.000, 0.500, 0.264) and F at (0.000, 0.000, 0.280).

---

Entry 8:
Entry from Alexandria: a relaxed structure of TlCuMoF (PBE with a Hubbard U).

The value obtained for the total energy is -4.109 eV per atom.

The space group is P1 (No. 1) and the conventional cell measures 3.179, 3.286 and 8.186 Å, with angles of 78.53, 80.43 and 89.98 degrees. The distinct sites, in fractional coordinates, are Tl at (0.000, 0.000, 0.000), Cu at (0.606, 0.622, 0.755), Mo at (0.191, 0.221, 0.556) and F at (0.770, 0.312, 0.371).

---

Entry 9:
Entry from Alexandria: a relaxed structure of TlCuMoF (PBE with a Hubbard U).

The value obtained for the total energy is -4.107 eV per atom.

The space group is Pm (No. 6) and the conventional cell measures 3.284, 3.179 and 7.993 Å, with angles of 90.00, 101.54 and 90.00 degrees. The distinct sites, in fractional coordinates, are Tl at (0.000, 0.000, 0.000), Cu at (0.380, 0.500, 0.753), Mo at (0.783, 0.000, 0.552) and F at (0.693, 0.500, 0.366).

---

Entry 10:
Entry from Alexandria: a relaxed structure of TlCuMoF (PBE with a Hubbard U).

The value obtained for the total energy is -3.999 eV per atom.

The space group is Pm (No. 6) and the conventional cell measures 4.446, 3.462 and 5.117 Å, with angles of 90.00, 90.17 and 90.00 degrees. The distinct sites, in fractional coordinates, are Tl at (0.000, 0.000, 0.000), Cu at (0.000, 0.000, 0.501), Mo at (0.500, 0.500, 0.464) and F at (0.500, 0.500, 0.046).

---

Entry 11:
Entry from Alexandria: a relaxed structure of TlCuMoF6 (PBE with a Hubbard U).

The value obtained for the total energy is -4.797 eV per atom.

The space group is P1 (No. 1) and the conventional cell measures 5.656, 5.664 and 5.743 Å, with angles of 92.91, 90.86 and 112.34 degrees. The distinct sites, in fractional coordinates, are Tl at (0.000, 0.000, 0.000), Cu at (0.691, 0.281, 0.534), Mo at (0.360, 0.638, 0.496), F at (0.083, 0.700, 0.335), F at (0.086, 0.332, 0.636), F at (0.363, 0.870, 0.767), F at (0.383, 0.417, 0.224), F at (0.633, 0.960, 0.360) and F at (0.646, 0.575, 0.673).

---

Entry 12:
Entry from Alexandria: a relaxed structure of ZnCuMoF6 (PBE with a Hubbard U).

The value obtained for the total energy is -4.685 eV per atom.

The space group is P-31c (No. 163) and the conventional cell measures 5.5309, 5.5309 and 9.2112 Å, with angles of 90.00, 90.00 and 120.00 degrees. The distinct sites, in fractional coordinates, are Zn at (0.3333, 0.6667, 0.2500), Cu at (0.0000, 0.0000, 0.0000), Mo at (0.3333, 0.6667, 0.7500) and F at (0.0046, 0.3513, 0.1335).